4
Lattice="4.734 0.000 0.000 2.367 4.100 0.000 2.367 1.367 3.865" Properties=species:S:1:pos:R:3 comment="ErTmFeCu, relaxed, DFT PBE-GGA" formation_energy_ev_per_atom=-0.07 spacegroup=F-43m final_energy_ev_per_cell=-21.86 pbc="T T T"
Fe 7.101 4.100 2.899
Er 0.000 0.000 0.000
Cu 2.367 1.367 0.966
Tm 4.734 2.733 1.933



4
Lattice="-0.951 4.516 0.660 -3.968 1.265 2.097 0.107 1.801 4.299" Properties=species:S:1:pos:R:3 comment="ErZrFeCu, relaxed, DFT PBE-GGA" formation_energy_ev_per_atom=-0.08 spacegroup=F-43m final_energy_ev_per_cell=-25.98 pbc="T T T"
Fe -3.609 5.686 5.292
Zr 0.000 0.000 0.000
Er -2.406 3.791 3.528
Cu -1.203 1.895 1.764



12
Lattice="5.486 -0.481 0.000 -0.694 5.463 0.000 -2.396 -2.491 7.488" Properties=species:S:1:pos:R:3 comment="Er2GaCu3, relaxed, DFT PBE-GGA" formation_energy_ev_per_atom=-0.37 spacegroup=Fmmm final_energy_ev_per_cell=-53.27 e_above_lowest_polymorph_ev_per_fu=0.00 pbc="T T T"
Er -0.347 2.732 3.744
Ga 0.000 0.000 5.005
Cu 3.936 1.009 1.242
Cu 2.396 2.491 4.987
Cu 1.540 -1.482 6.246
Er 1.164 1.210 0.000
Er 3.627 3.771 0.000
Er 2.743 -0.241 3.744
Cu -1.540 1.482 6.246
Ga 2.396 2.491 2.483
Cu 0.000 0.000 2.501
Cu 0.856 3.972 1.242



18
Lattice="-2.114 4.895 1.145 -6.754 -2.811 -0.453 1.247 -4.090 6.797" Properties=species:S:1:pos:R:3 comment="Er2Ga3Cu4, relaxed, DFT PBE-GGA" formation_energy_ev_per_atom=-0.35 spacegroup=Cmce final_energy_ev_per_cell=-75.48 pbc="T T T"
Cu -2.191 0.297 1.176
Cu -6.615 -3.345 2.086
Cu -4.373 -4.751 5.741
Cu -3.248 2.745 1.749
Er -0.512 -1.578 5.802
Ga -4.437 -4.201 3.276
Er -7.110 -0.428 1.688
Cu -5.430 -2.303 6.314
Cu -4.442 0.447 2.875
Cu -1.006 1.339 5.404
Ga 0.000 0.000 0.000
Ga -4.434 1.042 0.346
Er -3.622 0.015 6.237
Cu -3.179 -2.453 4.615
Ga -3.185 2.196 4.214
Ga -2.128 -0.252 3.641
Ga -5.494 -1.754 3.849
Er -4.000 -2.021 1.253



8
Lattice="3.714 0.000 0.000 0.000 5.385 0.000 -1.857 -2.693 8.188" Properties=species:S:1:pos:R:3 comment="Er3GaCu4, relaxed, DFT PBE-GGA" formation_energy_ev_per_atom=-0.12 spacegroup=Immm final_energy_ev_per_cell=-34.04 pbc="T T T"
Cu 0.000 1.229 6.196
Cu 0.000 -1.229 6.196
Ga 1.857 0.000 0.000
Er 0.000 2.693 0.000
Cu 1.857 3.922 1.992
Er 0.000 0.000 3.538
Er 1.857 2.693 4.650
Cu 1.857 1.464 1.992



11
Lattice="4.295 0.000 0.000 0.000 4.295 0.000 0.000 0.000 11.058" Properties=species:S:1:pos:R:3 comment="Er2Ga8Cu, relaxed, DFT PBE-GGA" formation_energy_ev_per_atom=-0.40 spacegroup=P4/mmm final_energy_ev_per_cell=-41.83 pbc="T T T"
Ga 2.148 0.000 9.686
Ga 0.000 2.148 5.529
Ga 2.148 0.000 5.529
Er 0.000 0.000 3.413
Ga 2.148 2.148 3.355
Er 0.000 0.000 7.644
Ga 0.000 2.148 1.372
Cu 0.000 0.000 0.000
Ga 2.148 2.148 7.703
Ga 2.148 0.000 1.372
Ga 0.000 2.148 9.686



Magnetization
In order: 0.00 0.59 0.00 0.00 0.00 0.00
Unit: μB/cell